# PBE YLuCdAu, optimized geometry
data_YLuCdAu
_chemical_formula_sum 'Y4 Lu4 Cd4 Au4'
_cell_length_a 7.2693
_cell_length_b 7.2693
_cell_length_c 7.2693
_cell_angle_alpha 90.00
_cell_angle_beta 90.00
_cell_angle_gamma 90.00
_space_group_name_H-M_alt 'F -4 3 m'
_space_group_IT_number 216
_space_group_name_Hall 'F -4 2 3'
loop_
_atom_site_label
_atom_site_type_symbol
_atom_site_fract_x
_atom_site_fract_y
_atom_site_fract_z
_atom_site_occupancy
Y1 Y 0.0000 0.0000 0.0000 1
Lu1 Lu 0.0000 0.0000 0.5000 1
Cd1 Cd 0.2500 0.2500 0.2500 1
Au1 Au 0.2500 0.2500 0.7500 1
# - volume (A^3/atom) = 24.01
# - ΔH_f (0 K) (eV per atom) = -0.57

# PBE Tm2ZnCu4Si3, optimized geometry
data_Tm2ZnCu4Si3
_chemical_formula_sum 'Tm2 Zn1 Cu4 Si3'
_cell_length_a 3.9612
_cell_length_b 3.9612
_cell_length_c 10.0441
_cell_angle_alpha 90.00
_cell_angle_beta 90.00
_cell_angle_gamma 90.00
_space_group_name_H-M_alt 'P -4 m 2'
_space_group_IT_number 115
_space_group_name_Hall 'P -4 -2'
loop_
_atom_site_label
_atom_site_type_symbol
_atom_site_fract_x
_atom_site_fract_y
_atom_site_fract_z
_atom_site_occupancy
Tm1 Tm 0.0000 0.5000 0.2424 1
Zn1 Zn 0.0000 0.0000 0.5000 1
Cu1 Cu 0.0000 0.0000 0.0000 1
Cu2 Cu 0.0000 0.5000 0.6389 1
Cu3 Cu 0.5000 0.5000 0.0000 1
Si1 Si 0.0000 0.5000 0.8663 1
Si2 Si 0.5000 0.5000 0.5000 1
# - uncorrected formation energy (eV per atom) = -0.489
# - volume (A^3/atom) = 15.76

# PBE LiBeGaCo, optimized geometry
data_LiBeGaCo
_chemical_formula_sum 'Li4 Be4 Ga4 Co4'
_cell_length_a 5.6082
_cell_length_b 5.6082
_cell_length_c 5.6082
_cell_angle_alpha 90.00
_cell_angle_beta 90.00
_cell_angle_gamma 90.00
_space_group_name_H-M_alt 'F -4 3 m'
_space_group_IT_number 216
_space_group_name_Hall 'F -4 2 3'
loop_
_atom_site_label
_atom_site_type_symbol
_atom_site_fract_x
_atom_site_fract_y
_atom_site_fract_z
_atom_site_occupancy
Li1 Li 0.0000 0.0000 0.0000 1
Be1 Be 0.2500 0.2500 0.2500 1
Ga1 Ga 0.2500 0.2500 0.7500 1
Co1 Co 0.0000 0.0000 0.5000 1
# - volume (A^3/atom) = 11.02
# - ΔH_f (0 K) (eV per atom) = -0.16

# PBE TlInAg14, optimized geometry
data_TlInAg14
_chemical_formula_sum 'Tl1 In1 Ag14'
_cell_length_a 5.9791
_cell_length_b 5.9791
_cell_length_c 8.3690
_cell_angle_alpha 90.00
_cell_angle_beta 90.00
_cell_angle_gamma 90.00
_space_group_name_H-M_alt 'P 4/m m m'
_space_group_IT_number 123
_space_group_name_Hall '-P 4 2'
loop_
_atom_site_label
_atom_site_type_symbol
_atom_site_fract_x
_atom_site_fract_y
_atom_site_fract_z
_atom_site_occupancy
Tl1 Tl 0.0000 0.0000 0.0000 1
In1 In 0.5000 0.5000 0.0000 1
Ag1 Ag 0.0000 0.0000 0.5000 1
Ag2 Ag 0.0000 0.5000 0.0000 1
Ag3 Ag 0.0000 0.5000 0.5000 1
Ag4 Ag 0.2520 0.2520 0.2586 1
Ag5 Ag 0.5000 0.5000 0.5000 1
# - volume (A^3/atom) = 18.70
# - ΔH_f (0 K) (eV per atom) = 0.03

# PBE LiDyAlOs, optimized geometry
data_LiDyAlOs
_chemical_formula_sum 'Li4 Dy4 Al4 Os4'
_cell_length_a 6.5258
_cell_length_b 6.5258
_cell_length_c 6.5258
_cell_angle_alpha 90.00
_cell_angle_beta 90.00
_cell_angle_gamma 90.00
_space_group_name_H-M_alt 'F -4 3 m'
_space_group_IT_number 216
_space_group_name_Hall 'F -4 2 3'
loop_
_atom_site_label
_atom_site_type_symbol
_atom_site_fract_x
_atom_site_fract_y
_atom_site_fract_z
_atom_site_occupancy
Li1 Li 0.0000 0.0000 0.0000 1
Dy1 Dy 0.2500 0.2500 0.7500 1
Al1 Al 0.2500 0.2500 0.2500 1
Os1 Os 0.0000 0.0000 0.5000 1
# - volume (A^3/atom) = 17.37
# - ΔH_f (0 K) (eV per atom) = -0.22

# PBE Li2AlRe, optimized geometry
data_Li2AlRe
_chemical_formula_sum 'Li2 Al1 Re1'
_cell_length_a 2.5892
_cell_length_b 2.5892
_cell_length_c 8.9175
_cell_angle_alpha 90.00
_cell_angle_beta 90.00
_cell_angle_gamma 90.00
_space_group_name_H-M_alt 'P 4/m m m'
_space_group_IT_number 123
_space_group_name_Hall '-P 4 2'
loop_
_atom_site_label
_atom_site_type_symbol
_atom_site_fract_x
_atom_site_fract_y
_atom_site_fract_z
_atom_site_occupancy
Li1 Li 0.0000 0.0000 0.2453 1
Al1 Al 0.5000 0.5000 0.5000 1
Re1 Re 0.5000 0.5000 0.0000 1
# - volume (A^3/atom) = 14.95
# - ΔH_f (0 K) (eV per atom) = 0.16